No. 1
Compound: RbGaSn2S6
Source: Alexandria via LeMat-Bulk
Functional: PBE
Structure: optimized geometry

Properties
The value obtained for the formation energy (no corrections) is -48.68 kJ/mol of atoms. Its crystal system is monoclinic. As for the calculated density: 2.98 Mg/m³.

abc: 7.3037 9.9321 9.9321
angles: 94.90 73.58 73.58
With the nearest neighbours (Å) after each atom.
Fractional positions:
1 Rb 0.2500 0.8953 0.1047  6 S 3.26-3.39
2 Rb 0.7500 0.1047 0.8953  6 S 3.26-3.39
3 Ga 0.2500 0.2254 0.7746  4 S 2.25-2.36
4 Ga 0.7500 0.7746 0.2254  4 S 2.25-2.36
5 Sn 0.3573 0.7736 0.6119  4 S 2.42-2.50
6 Sn 0.1427 0.3881 0.2264  4 S 2.42-2.50
7 Sn 0.6427 0.2264 0.3881  4 S 2.42-2.50
8 Sn 0.8573 0.6119 0.7736  4 S 2.42-2.50
9 S 0.2415 0.9908 0.7862  1 Ga 2.36, 1 Sn 2.42
10 S 0.2585 0.2138 0.0092  1 Ga 2.36, 1 Sn 2.42
11 S 0.7585 0.0092 0.2138  1 Ga 2.36, 1 Sn 2.42
12 S 0.7415 0.7862 0.9908  1 Ga 2.36, 1 Sn 2.42
13 S 0.4466 0.7685 0.3559  1 Ga 2.25, 1 Sn 2.43
14 S 0.0534 0.6441 0.2315  1 Ga 2.25, 1 Sn 2.43
15 S 0.5534 0.2315 0.6441  1 Ga 2.25, 1 Sn 2.43
16 S 0.9466 0.3559 0.7685  1 Ga 2.25, 1 Sn 2.43
17 S 0.0555 0.7109 0.5933  2 Sn 2.43-2.50
18 S 0.4445 0.4067 0.2891  2 Sn 2.43-2.50
19 S 0.9445 0.2891 0.4067  2 Sn 2.43-2.50
20 S 0.5555 0.5933 0.7109  2 Sn 2.43-2.50

=====

No. 2
Compound: Ho8CuAu2
Source: Alexandria via LeMat-Bulk
Functional: PBE
Structure: optimized geometry

Properties
The value obtained for the density of states at the Fermi level is 10.4 states/eV/cell. The value obtained for the formation energy is -353 meV per atom. Its crystal system is monoclinic. As for the calculated density: 10.13 Mg/m³.

abc: 5.0780 6.7725 9.1311
angles: 104.46 106.14 90.00
With the nearest neighbours (Å) after each atom.
Fractional positions:
1 Ho 0.4097 0.5510 0.8194  1 Cu 3.04, 2 Au 3.36, 2 Ho 3.40
2 Ho 0.6624 0.9711 0.3248  3 Au 2.87-3.11, 1 Cu 2.91
3 Ho 0.7979 0.6813 0.5958  1 Au 2.86
4 Ho 0.9707 0.2194 0.9413  1 Au 2.89, 2 Cu 3.05
5 Ho 0.2021 0.3187 0.4042  1 Au 2.86
6 Ho 0.3376 0.0289 0.6752  3 Au 2.87-3.11, 1 Cu 2.91
7 Ho 0.5903 0.4490 0.1806  1 Cu 3.04, 2 Au 3.36, 2 Ho 3.40
8 Ho 0.0293 0.7806 0.0587  1 Au 2.89, 2 Cu 3.05
9 Cu 0.5000 0.0000 0.0000  8 Ho 2.91-3.05
10 Au 0.8123 0.2704 0.6246  5 Ho 2.86-3.11
11 Au 0.1877 0.7296 0.3754  5 Ho 2.86-3.11

=====

No. 3
Compound: RbAsIr2Rh
Source: Alexandria via LeMat-Bulk
Functional: PBE
Structure: optimized geometry

Properties
The value obtained for the density of states at the Fermi level is 7.3 states/eV/cell. The value obtained for the formation energy is 2944 meV per atom. The calculation puts the energy above the most stable polymorph in this dataset at 0.0 meV per atom. Its crystal system is tetragonal. As for the calculated density: 9.46 Mg/m³.

abc: 4.8795 4.8795 4.7736
angles: 90.00 90.00 90.00
With the nearest neighbours (Å) after each atom.
Fractional positions:
1 As 0.5000 0.5000 0.5000  8 Ir 3.41, 4 Rh 3.45
2 Ir 0.0000 0.5000 0.0000  2 Rb 2.44
3 Ir 0.5000 0.0000 0.0000  2 Rb 2.44
4 Rh 0.0000 0.0000 0.5000  2 Rb 2.39
5 Rb 0.0000 0.0000 0.0000  2 Rh 2.39, 4 Ir 2.44

=====

No. 4
Compound: MgUF5
Source: Alexandria via LeMat-Bulk
Functional: PBE
Structure: optimized geometry

Properties
The value obtained for the density of states at the Fermi level is 1.7 states/eV/cell. The value obtained for the formation energy (no corrections) is -329.71 kJ/mol of atoms. Its crystal system is monoclinic. As for the calculated density: 5.28 Mg/m³.

abc: 5.7584 5.7583 7.8746
angles: 69.91 69.91 71.89
With the nearest neighbours (Å) after each atom.
Fractional positions:
1 Mg 0.0000 0.0000 0.0000  6 F 1.97-2.05
2 Mg 0.0000 0.0000 0.5000  6 F 1.97-2.05
3 U 0.5523 0.4477 0.2500  7 F 2.26-2.49
4 U 0.4477 0.5523 0.7500  7 F 2.26-2.49
5 F 0.7908 0.7433 0.1214  1 Mg 1.97
6 F 0.2807 0.6852 0.4709  1 Mg 2.04
7 F 0.7433 0.7908 0.6214  1 Mg 1.97
8 F 0.9163 0.0837 0.2500  2 Mg 2.05
9 F 0.3148 0.7193 0.0291  1 Mg 2.04
10 F 0.6852 0.2807 0.9709  1 Mg 2.04
11 F 0.0837 0.9163 0.7500  2 Mg 2.05
12 F 0.2567 0.2092 0.3786  1 Mg 1.97
13 F 0.7193 0.3148 0.5291  1 Mg 2.04
14 F 0.2092 0.2567 0.8786  1 Mg 1.97

=====

No. 5
Compound: ZrTcSe2
Source: Alexandria via LeMat-Bulk
Functional: PBE
Structure: optimized geometry

Properties
The value obtained for the density of states at the Fermi level is 0.9 states/eV/cell. The calculation puts the energy above the most stable polymorph in this dataset at 0.0 meV per atom. The value obtained for the formation energy (no corrections) is -60.38 kJ/mol of atoms. Its crystal system is orthorhombic. As for the calculated density: 5.81 Mg/m³.

abc: 4.2709 3.5909 6.4744
angles: 90.00 90.00 90.00
With the nearest neighbours (Å) after each atom.
Fractional positions:
1 Se 0.0000 0.8750 0.8971  2 Tc 2.56, 2 Zr 2.69
2 Se 0.5000 0.3750 0.3443  2 Zr 2.65, 2 Tc 2.76
3 Tc 0.0000 0.3750 0.6143  4 Se 2.56-2.76, 4 Zr 2.80
4 Zr 0.5000 0.8750 0.6444  4 Se 2.65-2.69, 4 Tc 2.80

=====

No. 6
Compound: La2ZnNi
Source: Alexandria via LeMat-Bulk
Functional: PBE
Structure: optimized geometry

Properties
The value obtained for the density of states at the Fermi level is 0.6 states/eV/cell. The value obtained for the formation energy is -126 meV per atom. Its crystal system is cubic. As for the calculated density: 7.80 Mg/m³.

abc: 4.9459 4.9459 4.9459
angles: 60.00 60.00 60.00
With the nearest neighbours (Å) after each atom.
Fractional positions:
1 La 0.0000 0.0000 0.0000  4 La 3.03, 4 Zn 3.03
2 La 0.2500 0.2500 0.2500  4 Ni 3.03, 4 La 3.03
3 Ni 0.5000 0.5000 0.5000  4 Zn 3.03, 4 La 3.03
4 Zn 0.7500 0.7500 0.7500  4 La 3.03, 4 Ni 3.03

=====

No. 7
Compound: Rb3Tb2ScO6
Source: Alexandria via LeMat-Bulk
Functional: PBE
Structure: optimized geometry

Properties
The value obtained for the density of states at the Fermi level is 0.0 states/eV/cell. The value obtained for the formation energy (no corrections) is -256.62 kJ/mol of atoms. Its crystal system is monoclinic. As for the calculated density: 5.87 Mg/m³.

abc: 5.9778 5.9778 6.8296
angles: 98.38 98.38 120.00
With the nearest neighbours (Å) after each atom.
Fractional positions:
1 Rb 0.1652 0.8348 0.5000  6 O 2.88-2.99
2 Rb 0.8348 0.1652 0.5000  6 O 2.88-2.99
3 Rb 0.5000 0.5000 0.5000  6 O 2.89-2.98
4 Tb 0.3333 0.6667 0.0000  6 O 2.33
5 Tb 0.6667 0.3333 0.0000  6 O 2.33
6 Sc 0.0000 0.0000 0.0000  6 O 2.21
7 O 0.9423 0.6242 0.8270  1 Sc 2.21, 2 Tb 2.33
8 O 0.7395 0.7395 0.1733  1 Sc 2.21, 2 Tb 2.33
9 O 0.0577 0.3758 0.1730  1 Sc 2.21, 2 Tb 2.33
10 O 0.6242 0.9423 0.8270  1 Sc 2.21, 2 Tb 2.33
11 O 0.2605 0.2605 0.8267  1 Sc 2.21, 2 Tb 2.33
12 O 0.3758 0.0577 0.1730  1 Sc 2.21, 2 Tb 2.33

=====

No. 8
Compound: TiTlCr2Os
Source: Alexandria via LeMat-Bulk
Functional: PBE
Structure: optimized geometry

Properties
The value obtained for the density of states at the Fermi level is 10.3 states/eV/cell. The value obtained for the formation energy is 2663 meV per atom. Its crystal system is tetragonal. As for the calculated density: 8.58 Mg/m³.

abc: 4.6595 4.8730 4.6595
angles: 90.00 90.00 90.00
With the nearest neighbours (Å) after each atom.
Fractional positions:
1 Cr 0.0000 0.0000 0.5000  2 Tl 2.33
2 Cr 0.5000 0.0000 0.0000  2 Tl 2.33
3 Tl 0.0000 0.0000 0.0000  4 Cr 2.33, 2 Ti 2.44
4 Os 0.5000 0.5000 0.5000  4 Ti 3.29, 8 Cr 3.37
5 Ti 0.0000 0.5000 0.0000  2 Tl 2.44

=====

No. 9
Compound: Tb2Sm3S8
Source: Alexandria via LeMat-Bulk
Functional: PBE
Structure: optimized geometry

Properties
The value obtained for the density of states at the Fermi level is 8.0 states/eV/cell. The value obtained for the formation energy (no corrections) is -177.75 kJ/mol of atoms. Its crystal system is monoclinic. As for the calculated density: 4.77 Mg/m³.

abc: 6.8140 8.0699 8.0207
angles: 120.20 107.69 90.00
With the nearest neighbours (Å) after each atom.
Fractional positions:
1 Tb 0.3448 0.2630 0.5260  6 S 2.72-2.82
2 Tb 0.6552 0.7370 0.4740  6 S 2.72-2.82
3 Sm 0.5000 0.0000 0.0000  6 S 2.77-2.84
4 Sm 0.0000 0.2637 0.0000  6 S 2.76-2.82
5 Sm 0.0000 0.7363 0.0000  6 S 2.76-2.82
6 S 0.8999 0.6187 0.2375  1 Tb 2.72, 2 Sm 2.76
7 S 0.1001 0.3813 0.7625  1 Tb 2.72, 2 Sm 2.76
8 S 0.9347 0.1190 0.2380  1 Tb 2.81, 3 Sm 2.82-2.84
9 S 0.0653 0.8810 0.7620  1 Tb 2.81, 3 Sm 2.82-2.84
10 S 0.5833 0.6399 0.7459  2 Sm 2.77-2.78, 2 Tb 2.80-2.82
11 S 0.5833 0.1060 0.7459  2 Sm 2.77-2.78, 2 Tb 2.80-2.82
12 S 0.4167 0.8940 0.2541  2 Sm 2.77-2.78, 2 Tb 2.80-2.82
13 S 0.4167 0.3601 0.2541  2 Sm 2.77-2.78, 2 Tb 2.80-2.82

=====

No. 10
Compound: SiAs2Cl
Source: Alexandria via LeMat-Bulk
Functional: PBE
Structure: optimized geometry

Properties
The value obtained for the density of states at the Fermi level is 2.6 states/eV/cell. The calculation puts the energy above the most stable polymorph in this dataset at 600.0 meV per atom. The value obtained for the formation energy (no corrections) is 52.73 kJ/mol of atoms. Its crystal system is tetragonal. As for the calculated density: 4.71 Mg/m³.

abc: 4.9821 4.9821 3.0312
angles: 90.00 90.00 90.00
With the nearest neighbours (Å) after each atom.
Fractional positions:
1 As 0.0000 0.0000 0.0000  4 Cl 2.92, 4 Si 2.92, 2 As 3.03
2 As 0.5000 0.5000 0.0000  4 Cl 2.92, 4 Si 2.92, 2 As 3.03
3 Cl 0.5000 0.0000 0.5000  8 As 2.92, 2 Cl 3.03
4 Si 0.0000 0.5000 0.5000  8 As 2.92, 2 Si 3.03

=====

No. 11
Compound: LiAlIr2N
Source: Alexandria via LeMat-Bulk
Functional: PBE
Structure: optimized geometry

Properties
The value obtained for the density of states at the Fermi level is 4.8 states/eV/cell. The value obtained for the formation energy (no corrections) is 167.23 kJ/mol of atoms. Its crystal system is tetragonal. As for the calculated density: 10.51 Mg/m³.

abc: 4.1168 4.0288 4.1168
angles: 90.00 90.00 90.00
With the nearest neighbours (Å) after each atom.
Fractional positions:
1 Ir 0.0000 0.0000 0.5000  2 Li 2.06
2 Ir 0.5000 0.0000 0.0000  2 Li 2.06
3 Li 0.0000 0.0000 0.0000  2 Al 2.01, 4 Ir 2.06
4 Al 0.0000 0.5000 0.0000  2 Li 2.01
5 N 0.5000 0.5000 0.5000  8 Ir 2.88, 4 Al 2.91

=====

No. 12
Compound: AsC2
Source: Alexandria via LeMat-Bulk
Functional: PBE
Structure: optimized geometry

Properties
The value obtained for the density of states at the Fermi level is 4.8 states/eV/cell. The value obtained for the formation energy is 3184 meV per atom. The calculation puts the energy above the most stable polymorph in this dataset at 2832.3 meV per atom. Its crystal system is cubic. As for the calculated density: 5.16 Mg/m³.

abc: 4.4819 4.4819 4.4819
angles: 60.00 60.00 60.00
With the nearest neighbours (Å) after each atom.
Fractional positions:
1 As 0.0000 0.0000 0.0000  12 C 2.63, 4 As 2.74
2 As 0.2500 0.2500 0.2500  12 C 2.63, 4 As 2.74
3 C 0.6250 0.6250 0.1250  6 C 2.24
4 C 0.6250 0.1250 0.6250  6 C 2.24
5 C 0.6250 0.6250 0.6250  6 C 2.24
6 C 0.1250 0.6250 0.6250  6 C 2.24

=====

Result set for total magnetization: 0.00, 0.00, 0.88, 3.00, 0.00, 0.00, 0.00, 1.09, 0.00, 0.00, 0.00, 0.00 μB per formula unit, one per record in the order listed.